Entry from the Alexandria database: crystalline K2Co3BiF12 at its relaxed geometry (GGA+U).

POSCAR file:
```
K2Co3BiF12
1.0
3.757 2.169 5.733
-3.757 2.169 5.733
0.000 -4.338 5.733
K Co Bi F
2 3 1 12
direct
0.118 0.118 0.118 K
0.882 0.882 0.882 K
0.000 0.500 0.500 Co
0.500 0.000 0.500 Co
0.500 0.500 0.000 Co
0.500 0.500 0.500 Bi
0.112 0.620 0.620 F
0.220 0.220 0.603 F
0.220 0.603 0.220 F
0.380 0.380 0.888 F
0.380 0.888 0.380 F
0.397 0.780 0.780 F
0.603 0.220 0.220 F
0.620 0.112 0.620 F
0.620 0.620 0.112 F
0.780 0.397 0.780 F
0.780 0.780 0.397 F
0.888 0.380 0.380 F
```

Values from the calculation:
* total magnetization: 10.000 μB per formula unit
* electronic total energy: -4.74 eV/atom
* N(E_F): 7.2 states/eV per cell
* V: 280 Å³/cell